## one
# ZnCdIO2

A relaxed ZnCdIO2 crystal (PBE, Alexandria).

Cell and atoms, written as extended XYZ:
```
5
Lattice="-0.048 3.834 1.275 -3.238 -0.799 2.281 3.625 -1.491 4.623" Properties=species:S:1:pos:R:3 pbc="T T T"
I 1.812 -0.746 2.311
Zn 0.000 0.000 0.000
O -1.619 -0.399 1.141
O -0.024 1.917 0.637
Cd 0.169 0.772 4.089
```

**Fermi-level density of states**: 1.12 states/eV/f.u.
**Magnetic moment**: 1.350 μB/f.u.
**Density**: 5.65 g/cm³

=====

## two
# ZnCdIO2

A relaxed ZnCdIO2 crystal (PBE, Alexandria).

Cell and atoms, written as extended XYZ:
```
5
Lattice="-1.019 -0.325 4.015 2.548 -3.260 0.383 5.123 4.196 1.639" Properties=species:S:1:pos:R:3 pbc="T T T"
I 2.561 2.098 0.820
Zn 3.326 0.305 3.018
O 1.274 -1.630 0.191
O -0.509 -0.162 2.008
Cd 0.000 0.000 0.000
```

**Fermi-level density of states**: 1.68 states/eV/f.u.
**Magnetic moment**: 1.100 μB/f.u.
**Density**: 4.75 g/cm³

=====

Which is most stable? The ranking, best first, is one, two.

=====

## one
# ZrCdIO2

A relaxed ZrCdIO2 crystal (PBE, Alexandria).

Cell and atoms, written as extended XYZ:
```
5
Lattice="-3.673 0.211 1.993 -2.003 -0.207 -3.669 -0.129 -6.170 0.418" Properties=species:S:1:pos:R:3 pbc="T T T"
I -0.064 -3.085 0.209
O -1.001 -0.103 -1.834
O -1.837 0.106 0.997
Zr 0.000 0.000 0.000
Cd -2.902 -3.083 -0.629
```

**Fermi-level density of states**: 0.47 states/eV/f.u.
**Magnetic moment**: 0.000 μB/f.u.
**Density**: 5.56 g/cm³

=====

## two
# ZrCdIO2

A relaxed ZrCdIO2 crystal (PBE, Alexandria).

Cell and atoms, written as extended XYZ:
```
5
Lattice="4.284 0.000 0.000 0.000 4.284 0.000 0.000 0.000 5.514" Properties=species:S:1:pos:R:3 pbc="T T T"
I 0.000 0.000 2.757
O 0.000 2.142 0.000
O 2.142 0.000 0.000
Zr 2.142 2.142 2.757
Cd 0.000 0.000 0.000
```

**Fermi-level density of states**: 3.24 states/eV/f.u.
**Magnetic moment**: 0.815 μB/f.u.
**Density**: 5.95 g/cm³

=====

Which is most stable? The ranking, best first, is one, two.

=====

## one
# ZrCdI2O

A relaxed ZrCdI2O crystal (PBE, Alexandria).

Cell and atoms, written as extended XYZ:
```
5
Lattice="-4.264 3.882 -1.369 -3.137 -1.789 4.699 1.788 2.754 2.242" Properties=species:S:1:pos:R:3 pbc="T T T"
I -1.569 -0.894 2.350
I -2.132 1.941 -0.684
O 0.894 1.377 1.121
Zr -2.807 2.424 2.786
Cd 0.000 0.000 0.000
```

**Fermi-level density of states**: 5.10 states/eV/f.u.
**Magnetic moment**: 1.678 μB/f.u.
**Density**: 5.63 g/cm³

=====

## two
# ZrCdI2O

A relaxed ZrCdI2O crystal (PBE, Alexandria).

Cell and atoms, written as extended XYZ:
```
5
Lattice="5.979 0.000 0.000 0.000 5.979 0.000 0.000 0.000 4.045" Properties=species:S:1:pos:R:3 pbc="T T T"
I 0.000 2.990 0.000
I 2.990 0.000 0.000
O 0.000 0.000 2.023
Zr 0.000 0.000 0.000
Cd 2.990 2.990 2.023
```

**Fermi-level density of states**: 2.65 states/eV/f.u.
**Magnetic moment**: 0.013 μB/f.u.
**Density**: 5.44 g/cm³

=====

Which is most stable? The ranking, best first, is two, one.

=====

## one
# Cd2OsI

A relaxed Cd2OsI crystal (PBE, Alexandria).

Cell and atoms, written as extended XYZ:
```
8
Lattice="6.538 0.000 0.000 0.000 6.538 0.000 3.269 3.269 6.792" Properties=species:S:1:pos:R:3 pbc="T T T"
I 3.269 3.269 0.000
I 3.269 6.538 3.396
Os 0.000 0.000 0.000
Os 6.538 3.269 3.396
Cd 5.320 1.634 1.698
Cd 1.218 4.903 1.698
Cd 4.903 4.487 5.094
Cd 8.172 8.589 5.094
```

**Fermi-level density of states**: 1.60 states/eV/f.u.
**Magnetic moment**: 1.003 μB/f.u.
**Density**: 6.20 g/cm³

=====

## two
# Cd2OsI

A relaxed Cd2OsI crystal (PBE, Alexandria).

Cell and atoms, written as extended XYZ:
```
4
Lattice="-2.085 -3.303 3.151 -4.833 0.453 1.273 -3.364 -3.312 -1.701" Properties=species:S:1:pos:R:3 pbc="T T T"
I 0.000 0.000 0.000
Os -5.141 -3.081 1.362
Cd -2.570 -1.541 0.681
Cd -7.711 -4.622 2.042
```

**Fermi-level density of states**: 1.83 states/eV/f.u.
**Magnetic moment**: 1.001 μB/f.u.
**Density**: 10.07 g/cm³

=====

Which is most stable? The ranking, best first, is one, two.

=====

## one
# CdOsI2

A relaxed CdOsI2 crystal (PBE, Alexandria).

Cell and atoms, written as extended XYZ:
```
4
Lattice="0.000 3.683 3.683 3.683 0.000 3.683 3.683 3.683 0.000" Properties=species:S:1:pos:R:3 pbc="T T T"
I 1.842 1.842 1.842
I 5.525 5.525 5.525
Os 3.683 3.683 3.683
Cd 0.000 0.000 0.000
```

**Fermi-level density of states**: 2.63 states/eV/f.u.
**Magnetic moment**: 2.510 μB/f.u.
**Density**: 9.24 g/cm³

=====

## two
# CdOsI2

A relaxed CdOsI2 crystal (PBE, Alexandria).

Cell and atoms, written as extended XYZ:
```
8
Lattice="9.376 0.000 0.000 0.000 9.376 0.000 4.688 4.688 2.735" Properties=species:S:1:pos:R:3 pbc="T T T"
I 8.310 2.344 0.684
I 10.441 7.032 0.684
I 7.032 5.753 2.051
I 11.719 3.623 2.051
Os 0.000 0.000 0.000
Os 9.376 4.688 1.368
Cd 4.688 4.688 0.000
Cd 4.688 9.376 1.368
```

**Fermi-level density of states**: 2.81 states/eV/f.u.
**Magnetic moment**: 0.000 μB/f.u.
**Density**: 7.69 g/cm³

=====

Which is most stable? The ranking, best first, is two, one.

=====

## one
# CdOs2I

A relaxed CdOs2I crystal (PBE, Alexandria).

Cell and atoms, written as extended XYZ:
```
4
Lattice="4.033 -1.520 -1.733 1.142 -4.488 0.367 0.033 -2.705 -3.777" Properties=species:S:1:pos:R:3 pbc="T T T"
I 2.604 -4.356 -2.571
Os 1.302 -2.178 -1.286
Os 3.907 -6.534 -3.857
Cd 0.000 0.000 0.000
```

**Fermi-level density of states**: 2.70 states/eV/f.u.
**Magnetic moment**: 0.000 μB/f.u.
**Density**: 14.52 g/cm³

=====

## two
# CdOs2I

A relaxed CdOs2I crystal (PBE, Alexandria).

Cell and atoms, written as extended XYZ:
```
8
Lattice="-7.000 -1.963 1.798 -0.020 -5.021 -5.557 -2.491 -5.482 -0.085" Properties=species:S:1:pos:R:3 pbc="T T T"
I 0.000 0.000 0.000
I -6.500 -5.468 -0.083
Os -5.306 -3.310 0.487
Os -1.204 -4.668 -3.348
Os -4.500 -6.511 -1.230
Os -8.011 -10.441 -3.595
Cd -3.510 -3.492 -1.879
Cd -3.010 -6.997 -3.760
```

**Fermi-level density of states**: 6.80 states/eV/f.u.
**Magnetic moment**: 0.000 μB/f.u.
**Density**: 12.80 g/cm³

=====

Which is most stable? The ranking, best first, is one, two.

=====

## one
# CdOs2I2

A relaxed CdOs2I2 crystal (PBE, Alexandria).

Cell and atoms, written as extended XYZ:
```
10
Lattice="8.207 0.000 0.000 0.000 8.207 0.000 0.000 0.000 3.163" Properties=species:S:1:pos:R:3 pbc="T T T"
I 2.957 7.061 0.000
I 7.061 5.249 0.000
I 5.249 1.146 0.000
I 1.146 2.957 0.000
Os 1.459 5.562 1.581
Os 5.562 6.748 1.581
Os 6.748 2.645 1.581
Os 2.645 1.459 1.581
Cd 0.000 0.000 0.000
Cd 4.103 4.103 0.000
```

**Fermi-level density of states**: 4.38 states/eV/f.u.
**Magnetic moment**: 0.000 μB/f.u.
**Density**: 11.64 g/cm³

=====

## two
# CdOs2I2

A relaxed CdOs2I2 crystal (PBE, Alexandria).

Cell and atoms, written as extended XYZ:
```
5
Lattice="-4.087 0.236 -0.661 -0.547 -3.519 2.124 -3.177 2.617 7.565" Properties=species:S:1:pos:R:3 pbc="T T T"
I -2.578 -0.349 2.806
I -5.233 -0.317 6.222
Os -4.790 0.606 3.817
Os -3.020 -1.272 5.210
Cd 0.000 0.000 0.000
```

**Fermi-level density of states**: 4.03 states/eV/f.u.
**Magnetic moment**: 0.000 μB/f.u.
**Density**: 8.91 g/cm³

=====

Which is most stable? The ranking, best first, is two, one.